No. 1
PBE Pu2Zn3Ge, relaxed; space group = Fddd, No. 70; D(E_F) = 2.012 states/eV per atom; formation energy from the elements = -1.51 eV per formula unit; calculated total energy = -6.435 eV/atom
1.0
0.0000 5.9797 8.1963
4.6140 0.0000 8.1963
4.6140 5.9797 0.0000
Pu Zn Ge
8 12 4
Direct
0.0144 0.7356 0.0144
0.2342 0.5158 0.2342
0.2644 0.9856 0.2644
0.4842 0.7658 0.4842
0.5158 0.2342 0.5158
0.7356 0.0144 0.7356
0.7658 0.4842 0.7658
0.9856 0.2644 0.9856
0.0510 0.5423 0.7025
0.2042 0.7025 0.5423
0.2170 0.2170 0.5330
0.2975 0.7958 0.9490
0.4577 0.9490 0.7958
0.4670 0.4670 0.7830
0.5330 0.5330 0.2170
0.5423 0.0510 0.2042
0.7025 0.2042 0.0510
0.7830 0.7830 0.4670
0.7958 0.2975 0.4577
0.9490 0.4577 0.2975
0.0357 0.0357 0.7143
0.2857 0.2857 0.9643
0.7143 0.7143 0.0357
0.9643 0.9643 0.2857

No. 2
PBE Pu5ZnGe3, relaxed; space group = P6_3/mcm, No. 193; D(E_F) = 3.510 states/eV per atom; formation energy from the elements = -3.26 eV per formula unit; calculated total energy = -10.005 eV/atom
1.0
8.8225 0.0000 0.0000
-4.4113 7.6405 0.0000
0.0000 0.0000 6.1389
Pu Zn Ge
10 2 6
Direct
0.0000 0.3033 0.2500
0.0000 0.6967 0.7500
0.3033 0.0000 0.2500
0.3033 0.3033 0.7500
0.3333 0.6667 0.0000
0.3333 0.6667 0.5000
0.6667 0.3333 0.0000
0.6667 0.3333 0.5000
0.6967 0.0000 0.7500
0.6967 0.6967 0.2500
0.0000 0.0000 0.0000
0.0000 0.0000 0.5000
0.0000 0.3576 0.7500
0.0000 0.6424 0.2500
0.3576 0.0000 0.7500
0.3576 0.3576 0.2500
0.6424 0.0000 0.2500
0.6424 0.6424 0.7500

No. 3
PBE Pu2ZnGe, relaxed; space group = P4/mmm, No. 123; D(E_F) = 3.207 states/eV per atom; formation energy from the elements = -0.97 eV per formula unit; calculated total energy = -8.882 eV/atom
1.0
3.8715 0.0000 0.0000
0.0000 3.8715 0.0000
0.0000 0.0000 5.7692
Pu Zn Ge
2 1 1
Direct
0.0000 0.0000 0.2411
0.0000 0.0000 0.7589
0.5000 0.5000 0.5000
0.5000 0.5000 0.0000

No. 4
PBE Pu2ZnGe, relaxed; space group = Cmmm, No. 65; D(E_F) = 3.013 states/eV per atom; formation energy from the elements = -1.05 eV per formula unit; calculated total energy = -8.902 eV/atom
1.0
3.2124 -3.2182 0.0000
3.2124 3.2182 0.0000
0.0000 0.0000 4.1905
Pu Zn Ge
2 1 1
Direct
0.0000 0.5000 0.0000
0.5000 0.0000 0.0000
0.0000 0.0000 0.5000
0.5000 0.5000 0.5000

No. 5
PBE PuZnGe2, relaxed; space group = P4/mmm, No. 123; D(E_F) = 2.271 states/eV per atom; formation energy from the elements = -1.30 eV per formula unit; calculated total energy = -6.536 eV/atom
1.0
4.3319 0.0000 0.0000
0.0000 4.3319 0.0000
0.0000 0.0000 4.0821
Pu Zn Ge
1 1 2
Direct
0.0000 0.0000 0.0000
0.5000 0.5000 0.0000
0.0000 0.5000 0.5000
0.5000 0.0000 0.5000

No. 6
PBE Pu3Zn2Ge3, relaxed; space group = Cmcm, No. 63; D(E_F) = 3.527 states/eV per atom; formation energy from the elements = -2.66 eV per formula unit; calculated total energy = -7.757 eV/atom
1.0
2.1362 -5.4975 0.0000
2.1362 5.4975 0.0000
0.0000 0.0000 14.3496
Pu Zn Ge
6 4 6
Direct
0.0650 0.9350 0.6092
0.0650 0.9350 0.8908
0.3559 0.6441 0.7500
0.6441 0.3559 0.2500
0.9350 0.0650 0.1092
0.9350 0.0650 0.3908
0.2273 0.7727 0.0975
0.2273 0.7727 0.4025
0.7727 0.2273 0.5975
0.7727 0.2273 0.9025
0.3630 0.6370 0.2500
0.3796 0.6204 0.5437
0.3796 0.6204 0.9563
0.6204 0.3796 0.0437
0.6204 0.3796 0.4563
0.6370 0.3630 0.7500

No. 7
PBE Pu3Zn4Ge4, relaxed; space group = Immm, No. 71; D(E_F) = 2.366 states/eV per atom; formation energy from the elements = -3.57 eV per formula unit; calculated total energy = -6.376 eV/atom
1.0
-2.2358 3.3830 7.1078
2.2358 -3.3830 7.1078
2.2358 3.3830 -7.1078
Pu Zn Ge
3 4 4
Direct
0.0000 0.0000 0.0000
0.3775 0.8775 0.5000
0.6225 0.1225 0.5000
0.0224 0.3317 0.6907
0.3590 0.6683 0.6907
0.6410 0.3317 0.3093
0.9776 0.6683 0.3093
0.2160 0.2160 0.0000
0.3082 0.5000 0.8082
0.6918 0.5000 0.1918
0.7840 0.7840 0.0000

No. 8
PBE PuZnGe2, relaxed; space group = Fm-3m, No. 225; D(E_F) = 2.162 states/eV per atom; formation energy from the elements = -0.52 eV per formula unit; calculated total energy = -6.340 eV/atom
1.0
0.0000 3.3975 3.3975
3.3975 0.0000 3.3975
3.3975 3.3975 0.0000
Pu Zn Ge
1 1 2
Direct
0.0000 0.0000 0.0000
0.5000 0.5000 0.5000
0.2500 0.2500 0.2500
0.7500 0.7500 0.7500

No. 9
PBE Pu2Zn2Ge, relaxed; space group = C2/m, No. 12; D(E_F) = 2.012 states/eV per atom; formation energy from the elements = -1.04 eV per formula unit; calculated total energy = -7.374 eV/atom
1.0
5.0475 -2.3745 0.0000
5.0475 2.3745 0.0000
-2.1731 0.0000 8.2454
Pu Zn Ge
4 4 2
Direct
0.0681 0.0681 0.3456
0.1696 0.1696 0.0768
0.8304 0.8304 0.9232
0.9319 0.9319 0.6544
0.3797 0.3797 0.4098
0.4818 0.4818 0.1386
0.5182 0.5182 0.8614
0.6203 0.6203 0.5902
0.2451 0.2451 0.6992
0.7549 0.7549 0.3008

No. 10
PBE Pu3ZnGe2, relaxed; space group = P4/mmm, No. 123; D(E_F) = 3.360 states/eV per atom; formation energy from the elements = -1.65 eV per formula unit; calculated total energy = -9.192 eV/atom
1.0
3.8297 0.0000 0.0000
0.0000 3.8297 0.0000
0.0000 0.0000 8.8094
Pu Zn Ge
3 1 2
Direct
0.0000 0.0000 0.0000
0.0000 0.0000 0.3112
0.0000 0.0000 0.6888
0.5000 0.5000 0.5000
0.5000 0.5000 0.1574
0.5000 0.5000 0.8426

No. 11
PBE Pu2Zn3Ge, relaxed; space group = Pmm2, No. 25; D(E_F) = 2.474 states/eV per atom; formation energy from the elements = -1.38 eV per formula unit; calculated total energy = -6.413 eV/atom
1.0
3.0888 0.0000 0.0000
0.0000 4.6617 0.0000
0.0000 0.0000 8.1162
Pu Zn Ge
2 3 1
Direct
0.0000 0.0000 0.0000
0.0000 0.5000 0.4927
0.5000 0.0000 0.6695
0.5000 0.5000 0.1568
0.5000 0.5000 0.8278
0.5000 0.0000 0.3310

No. 12
PBE Pu2ZnGe, relaxed; space group = R-3m, No. 166; D(E_F) = 3.332 states/eV per atom; formation energy from the elements = 0.77 eV per formula unit; calculated total energy = -8.447 eV/atom
1.0
1.6042 0.9262 10.8679
-1.6042 0.9262 10.8679
0.0000 -1.8524 10.8679
Pu Zn Ge
2 1 1
Direct
0.0937 0.0937 0.0937
0.9063 0.9063 0.9063
0.0000 0.0000 0.0000
0.5000 0.5000 0.5000

No. 13
PBE Pu3Zn2Ge3, relaxed; space group = Immm, No. 71; D(E_F) = 2.580 states/eV per atom; formation energy from the elements = -2.34 eV per formula unit; calculated total energy = -7.717 eV/atom
1.0
-2.0413 2.1969 9.1499
2.0413 -2.1969 9.1499
2.0413 2.1969 -9.1499
Pu Zn Ge
3 2 3
Direct
0.0000 0.0000 0.0000
0.3741 0.8741 0.5000
0.6259 0.1259 0.5000
0.2499 0.2499 0.0000
0.7501 0.7501 0.0000
0.1529 0.6529 0.5000
0.5000 0.5000 0.0000
0.8471 0.3471 0.5000

No. 14
PBE Pu6ZnGe2, relaxed; space group = P6/mmm, No. 191; D(E_F) = 2.228 states/eV per atom; formation energy from the elements = 1.97 eV per formula unit; calculated total energy = -10.503 eV/atom
1.0
7.5733 0.0000 0.0000
-3.7867 6.5587 0.0000
0.0000 0.0000 3.5490
Pu Zn Ge
6 1 2
Direct
0.0000 0.3323 0.0000
0.0000 0.6677 0.0000
0.3323 0.0000 0.0000
0.3323 0.3323 0.0000
0.6677 0.0000 0.0000
0.6677 0.6677 0.0000
0.0000 0.0000 0.5000
0.3333 0.6667 0.5000
0.6667 0.3333 0.5000

No. 15
PBE Pu3ZnGe, relaxed; space group = Pnnm, No. 58; D(E_F) = 4.101 states/eV per atom; formation energy from the elements = -0.31 eV per formula unit; calculated total energy = -9.840 eV/atom
1.0
8.4244 0.0000 0.0000
0.0000 9.2509 0.0000
0.0000 0.0000 5.9917
Pu Zn Ge
12 4 4
Direct
0.0000 0.0000 0.2464
0.0000 0.0000 0.7536
0.1091 0.3609 0.2496
0.1091 0.3609 0.7504
0.3909 0.8609 0.2504
0.3909 0.8609 0.7496
0.5000 0.5000 0.2536
0.5000 0.5000 0.7464
0.6091 0.1391 0.2504
0.6091 0.1391 0.7496
0.8909 0.6391 0.2496
0.8909 0.6391 0.7504
0.2043 0.6397 0.0000
0.2957 0.1397 0.5000
0.7043 0.8603 0.5000
0.7957 0.3603 0.0000
0.2042 0.6373 0.5000
0.2958 0.1373 0.0000
0.7042 0.8627 0.0000
0.7958 0.3627 0.5000

No. 16
PBE PuZn3Ge3, relaxed; space group = Pm-3n, No. 223; D(E_F) = 1.871 states/eV per atom; formation energy from the elements = 1.61 eV per formula unit; calculated total energy = -4.342 eV/atom
1.0
6.8557 0.0000 0.0000
0.0000 6.8557 0.0000
0.0000 0.0000 6.8557
Pu Zn Ge
2 6 6
Direct
0.0000 0.0000 0.0000
0.5000 0.5000 0.5000
0.0000 0.2500 0.5000
0.0000 0.7500 0.5000
0.2500 0.5000 0.0000
0.5000 0.0000 0.2500
0.5000 0.0000 0.7500
0.7500 0.5000 0.0000
0.0000 0.5000 0.2500
0.0000 0.5000 0.7500
0.2500 0.0000 0.5000
0.5000 0.2500 0.0000
0.5000 0.7500 0.0000
0.7500 0.0000 0.5000

No. 17
PBE PuZn3Ge, relaxed; space group = I4mm, No. 107; D(E_F) = 2.336 states/eV per atom; formation energy from the elements = -1.18 eV per formula unit; calculated total energy = -4.789 eV/atom
1.0
-2.0486 2.0486 5.5408
2.0486 -2.0486 5.5408
2.0486 2.0486 -5.5408
Pu Zn Ge
1 3 1
Direct
0.0000 0.0000 0.0000
0.2435 0.7435 0.5000
0.3757 0.3757 0.0000
0.7435 0.2435 0.5000
0.5975 0.5975 0.0000

No. 18
PBE PuZnGe2, relaxed; space group = P4/mmm, No. 123; D(E_F) = 1.654 states/eV per atom; formation energy from the elements = -0.59 eV per formula unit; calculated total energy = -6.357 eV/atom
1.0
3.4719 0.0000 0.0000
0.0000 3.4719 0.0000
0.0000 0.0000 6.4616
Pu Zn Ge
1 1 2
Direct
0.0000 0.0000 0.0000
0.0000 0.0000 0.5000
0.5000 0.5000 0.2973
0.5000 0.5000 0.7027

No. 19
PBE PuZr2Ge, relaxed; space group = R-3m, No. 166; D(E_F) = 1.672 states/eV per atom; formation energy from the elements = -0.37 eV per formula unit; calculated total energy = -9.103 eV/atom
1.0
1.6464 0.9506 9.4585
-1.6464 0.9506 9.4585
0.0000 -1.9011 9.4585
Pu Zr Ge
1 2 1
Direct
0.0000 0.0000 0.0000
0.2430 0.2430 0.2430
0.7570 0.7570 0.7570
0.5000 0.5000 0.5000

No. 20
PBE Pu2Zr3Ge4, relaxed; space group = P2_1/c, No. 14; D(E_F) = 2.077 states/eV per atom; formation energy from the elements = -6.25 eV per formula unit; calculated total energy = -8.781 eV/atom
1.0
7.4575 0.0000 0.0000
0.0000 7.4627 0.0000
-2.4449 0.0000 6.8613
Pu Zr Ge
4 6 8
Direct
0.1858 0.1680 0.0628
0.1858 0.3320 0.5628
0.8142 0.6680 0.4372
0.8142 0.8320 0.9372
0.2493 0.6729 0.2490
0.2493 0.8271 0.7490
0.5000 0.0000 0.5000
0.5000 0.5000 0.0000
0.7507 0.1729 0.2510
0.7507 0.3271 0.7510
0.0855 0.5364 0.8603
0.0855 0.9636 0.3603
0.4898 0.1325 0.8640
0.4898 0.3675 0.3640
0.5102 0.6325 0.6360
0.5102 0.8675 0.1360
0.9145 0.0364 0.6397
0.9145 0.4636 0.1397

No. 21
PBE Pu6ZrGe5, relaxed; space group = Immm, No. 71; D(E_F) = 3.454 states/eV per atom; formation energy from the elements = -3.86 eV per formula unit; calculated total energy = -10.124 eV/atom
1.0
-2.2801 4.1283 7.0647
2.2801 -4.1283 7.0647
2.2801 4.1283 -7.0647
Pu Zr Ge
6 1 5
Direct
0.0654 0.3219 0.7434
0.2352 0.0000 0.2352
0.4215 0.6781 0.7434
0.5785 0.3219 0.2566
0.7648 0.0000 0.7648
0.9346 0.6781 0.2566
0.5000 0.5000 0.0000
0.0000 0.5000 0.5000
0.1682 0.1682 0.0000
0.3557 0.8557 0.5000
0.6443 0.1443 0.5000
0.8318 0.8318 0.0000

No. 22
PBE RbGe, relaxed; space group = F-43m, No. 216; formation energy from the elements = 1.78 eV per formula unit; calculated total energy = -1.904 eV/atom
1.0
0.0000 4.2080 4.2080
4.2080 0.0000 4.2080
4.2080 4.2080 0.0000
Rb Ge
1 1
Direct
0.0000 0.0000 0.0000
0.2500 0.2500 0.2500

No. 23
PBE Rb3Ge, relaxed; space group = I4/mmm, No. 139; D(E_F) = 1.009 states/eV per atom; formation energy from the elements = 0.74 eV per formula unit; calculated total energy = -1.695 eV/atom
1.0
-3.1952 3.1952 4.5662
3.1952 -3.1952 4.5662
3.1952 3.1952 -4.5662
Rb Ge
3 1
Direct
0.0000 0.0000 0.0000
0.2500 0.7500 0.5000
0.7500 0.2500 0.5000
0.5000 0.5000 0.0000